Sm4YEr7: optimized geometry, PBE.

Lattice parameters (Å, degrees): 6.526 6.804 9.001 85.02 77.16 81.56
Fractional positions:
Sm 0.137 0.306 0.286
Sm 0.338 0.884 0.691
Sm 0.662 0.116 0.309
Sm 0.863 0.694 0.714
Y 0.500 0.500 0.000
Er 0.013 0.252 0.950
Er 0.183 0.797 0.357
Er 0.312 0.394 0.616
Er 0.500 0.000 0.000
Er 0.688 0.606 0.384
Er 0.817 0.203 0.643
Er 0.987 0.748 0.050

Calculated values
**Offset from the most stable computed form**: 0.0000 eV per atom
**Formation energy**: 87.1 meV per atom

***

CeSm: optimized geometry, PBE.

Lattice parameters (Å, degrees): 4.507 4.507 4.507 60.00 60.00 60.00
Fractional positions:
Ce 0.000 0.000 0.000
Sm 0.500 0.500 0.500

Calculated values
**Offset from the most stable computed form**: 0.6347 eV per atom
**Formation energy**: 728.3 meV per atom

***

PtN: optimized geometry, PBE.

Lattice parameters (Å, degrees): 6.222 6.222 2.942 90.00 90.00 90.00
Fractional positions:
Pt 0.149 0.149 0.000
Pt 0.351 0.649 0.500
Pt 0.649 0.351 0.500
Pt 0.851 0.851 0.000
N 0.193 0.807 0.000
N 0.307 0.307 0.500
N 0.693 0.693 0.500
N 0.807 0.193 0.000

Calculated values
**Formation energy without anion corrections**: 207 kJ/mol of formula units

***

Rb2HfGaBr6: optimized geometry, PBE.

Lattice parameters (Å, degrees): 15.002 15.002 15.002 30.79 30.79 30.79
Fractional positions:
Rb 0.133 0.133 0.133
Rb 0.306 0.306 0.306
Rb 0.694 0.694 0.694
Rb 0.867 0.867 0.867
Hf 0.000 0.000 0.000
Hf 0.500 0.500 0.500
Ga 0.430 0.430 0.430
Ga 0.570 0.570 0.570
Br 0.124 0.640 0.640
Br 0.192 0.192 0.723
Br 0.192 0.723 0.192
Br 0.277 0.808 0.808
Br 0.360 0.360 0.876
Br 0.360 0.876 0.360
Br 0.640 0.124 0.640
Br 0.640 0.640 0.124
Br 0.723 0.192 0.192
Br 0.808 0.277 0.808
Br 0.808 0.808 0.277
Br 0.876 0.360 0.360

Calculated values
**Offset from the most stable computed form**: 0.0000 eV per atom
**Formation energy without anion corrections**: -1242 kJ/mol of formula units

***

ZrIn2Hg: optimized geometry, PBE.

Lattice parameters (Å, degrees): 5.801 5.801 5.801 136.71 136.71 62.89
Fractional positions:
Zr 0.000 0.000 0.000
In 0.250 0.750 0.500
In 0.500 0.500 0.000
Hg 0.750 0.250 0.500

Calculated values
**Formation energy**: -122.5 meV per atom

***

Mg2FeBr: optimized geometry, PBE.

Lattice parameters (Å, degrees): 3.265 3.199 7.896 90.00 90.13 90.00
Fractional positions:
Mg 0.001 0.000 0.212
Mg 0.999 0.000 0.788
Fe 0.500 0.500 0.000
Br 0.000 0.500 0.500

Calculated values
**Offset from the most stable computed form**: 0.0000 eV per atom
**Formation energy without anion corrections**: -30 kJ/mol of formula units

***

Ba2LiSi: optimized geometry, PBE.

Lattice parameters (Å, degrees): 4.858 6.210 6.210 49.38 90.00 90.00
Fractional positions:
Ba 0.000 0.000 0.000
Ba 0.500 0.295 0.295
Li 0.000 0.676 0.676
Si 0.500 0.600 0.600

Calculated values
**Formation energy without anion corrections**: -68 kJ/mol of formula units

***

Th3Zn3Cu8: optimized geometry, PBE.

Lattice parameters (Å, degrees): 8.091 8.091 8.091 149.13 115.03 73.65
Fractional positions:
Th 0.000 0.000 0.000
Th 0.292 0.292 0.000
Th 0.708 0.708 0.000
Zn 0.305 0.500 0.805
Zn 0.500 0.000 0.500
Zn 0.695 0.500 0.195
Cu 0.018 0.661 0.356
Cu 0.150 0.866 0.284
Cu 0.305 0.661 0.644
Cu 0.419 0.134 0.284
Cu 0.581 0.866 0.716
Cu 0.695 0.339 0.356
Cu 0.850 0.134 0.716
Cu 0.982 0.339 0.644

Calculated values
**Formation energy**: -197.0 meV per atom

***

La2Pm6HoEr3: optimized geometry, PBE.

Lattice parameters (Å, degrees): 6.283 6.283 11.974 95.02 95.02 120.02
Fractional positions:
La 0.167 0.833 0.000
La 0.833 0.167 0.000
Pm 0.083 0.415 0.745
Pm 0.253 0.253 0.255
Pm 0.415 0.083 0.745
Pm 0.585 0.917 0.255
Pm 0.747 0.747 0.745
Pm 0.917 0.585 0.255
Ho 0.500 0.500 0.000
Er 0.000 0.000 0.500
Er 0.334 0.666 0.500
Er 0.666 0.334 0.500

Calculated values
**Formation energy**: 21.2 meV per atom

***

LiErSnAu: optimized geometry, PBE.

Lattice parameters (Å, degrees): 4.950 4.950 4.950 60.00 60.00 60.00
Fractional positions:
Li 0.000 0.000 0.000
Er 0.500 0.500 0.500
Sn 0.750 0.750 0.750
Au 0.250 0.250 0.250

Calculated values
**Formation energy**: -622.5 meV per atom

***

La4GeAuO: optimized geometry, PBE.

Lattice parameters (Å, degrees): 8.722 8.722 6.911 90.00 90.00 133.42
Fractional positions:
La 0.000 0.500 0.000
La 0.000 0.500 0.500
La 0.067 0.933 0.750
La 0.430 0.570 0.750
La 0.500 0.000 0.000
La 0.500 0.000 0.500
La 0.570 0.430 0.250
La 0.933 0.067 0.250
Ge 0.383 0.617 0.250
Ge 0.617 0.383 0.750
Au 0.117 0.883 0.250
Au 0.883 0.117 0.750
O 0.246 0.754 0.750
O 0.754 0.246 0.250

Calculated values
**Formation energy without anion corrections**: -860 kJ/mol of formula units

***

MnBe2W: optimized geometry, PBE.

Lattice parameters (Å, degrees): 4.394 4.394 3.868 115.56 115.56 41.11
Fractional positions:
Mn 0.000 0.000 0.000
Be 0.472 0.472 0.471
Be 0.766 0.766 0.272
W 0.236 0.236 0.742

Calculated values
**Offset from the most stable computed form**: 0.0780 eV per atom
**Formation energy**: 35.8 meV per atom

***

Mg2MnTlGa: optimized geometry, PBE.

Lattice parameters (Å, degrees): 5.114 5.114 5.465 90.00 90.00 90.00
Fractional positions:
Mg 0.000 0.500 0.000
Mg 0.500 0.000 0.000
Mn 0.000 0.000 0.500
Tl 0.500 0.500 0.500
Ga 0.500 0.500 0.000

Calculated values
**Formation energy**: 609.2 meV per atom

***

RbCrCoS3: optimized geometry, PBE.

Lattice parameters (Å, degrees): 8.467 3.569 9.288 90.00 116.66 90.00
Fractional positions:
Rb 0.239 0.250 0.254
Rb 0.761 0.750 0.746
Cr 0.315 0.750 0.843
Cr 0.685 0.250 0.157
Co 0.083 0.250 0.604
Co 0.917 0.750 0.396
S 0.131 0.250 0.857
S 0.213 0.750 0.558
S 0.483 0.750 0.133
S 0.517 0.250 0.867
S 0.787 0.250 0.442
S 0.869 0.750 0.143

Calculated values
**Formation energy without anion corrections**: -445 kJ/mol of formula units

***

HoTm2PuTl4: optimized geometry, PBE.

Lattice parameters (Å, degrees): 9.267 9.267 9.267 33.55 33.55 33.55
Fractional positions:
Ho 0.000 0.000 0.000
Tm 0.248 0.248 0.248
Tm 0.752 0.752 0.752
Pu 0.500 0.500 0.500
Tl 0.123 0.123 0.123
Tl 0.373 0.373 0.373
Tl 0.627 0.627 0.627
Tl 0.877 0.877 0.877

Calculated values
**Formation energy**: -216.5 meV per atom

***

Ni2CI: optimized geometry, PBE.

Lattice parameters (Å, degrees): 6.977 6.977 6.977 26.85 26.85 26.85
Fractional positions:
Ni 0.130 0.130 0.130
Ni 0.870 0.870 0.870
C 0.500 0.500 0.500
I 0.000 0.000 0.000

Calculated values
**Offset from the most stable computed form**: 0.2585 eV per atom
**Formation energy without anion corrections**: 188 kJ/mol of formula units

***

Nb2IrSBr: optimized geometry, PBE.

Lattice parameters (Å, degrees): 4.946 4.946 4.946 90.00 90.00 90.00
Fractional positions:
Nb 0.000 0.500 0.000
Nb 0.500 0.000 0.000
Ir 0.000 0.000 0.000
S 0.500 0.500 0.500
Br 0.000 0.000 0.500

Calculated values
**Offset from the most stable computed form**: 0.2226 eV per atom
**Formation energy without anion corrections**: 535 kJ/mol of formula units

***

CaSn2I6: optimized geometry, PBE.

Lattice parameters (Å, degrees): 8.596 8.596 11.714 108.69 108.69 30.72
Fractional positions:
Ca 0.000 0.000 0.000
Sn 0.333 0.333 0.666
Sn 0.667 0.667 0.334
I 0.022 0.022 0.278
I 0.312 0.312 0.381
I 0.360 0.360 0.950
I 0.640 0.640 0.050
I 0.688 0.688 0.619
I 0.978 0.978 0.722

Calculated values
**Offset from the most stable computed form**: 0.0000 eV per atom
**Formation energy without anion corrections**: -767 kJ/mol of formula units

***

CsKHg2Pb: optimized geometry, PBE.

Lattice parameters (Å, degrees): 6.175 6.175 6.545 90.00 90.00 90.00
Fractional positions:
Cs 0.000 0.000 0.000
K 0.500 0.500 0.000
Hg 0.000 0.500 0.500
Hg 0.500 0.000 0.500
Pb 0.500 0.500 0.500

Calculated values
**Formation energy**: -53.4 meV per atom

***

CaRh2Pb: optimized geometry, PBE.

Lattice parameters (Å, degrees): 4.792 4.792 4.792 60.00 60.00 60.00
Fractional positions:
Ca 0.000 0.000 0.000
Rh 0.250 0.250 0.250
Rh 0.500 0.500 0.500
Pb 0.750 0.750 0.750

Calculated values
**Formation energy**: 9.8 meV per atom